Entry w
Compound: YThCo2
Source: Alexandria
Functional: GGA-PBE
Structure: optimized geometry

a b c (Å): 3.946 5.717 5.717
angles (deg): 38.67 90.00 90.00
Fractional positions:
Y (0.000, 0.000, 0.000)
Th (0.500, 0.724, 0.724)
Co (0.000, 0.279, 0.279)
Co (0.500, 0.430, 0.430)

Computed properties:
Space group: No. 38
Total moment: 0.0 Bohr magnetons per cell
V: 80.60 Å³/f.u.



Entry x
Compound: YThCo2
Source: Alexandria
Functional: GGA-PBE
Structure: optimized geometry

a b c (Å): 4.817 4.817 4.817
angles (deg): 60.00 60.00 60.00
Fractional positions:
Y (0.000, 0.000, 0.000)
Th (0.500, 0.500, 0.500)
Co (0.250, 0.250, 0.250)
Co (0.750, 0.750, 0.750)

Computed properties:
Space group: No. 225
Total moment: 0.0 Bohr magnetons per cell
V: 79.02 Å³/f.u.



Relative energies, in eV/atom, with the most stable structure set to zero: entry w 0.000; entry x 0.124.



Entry w
Compound: Th2ZnCo
Source: Alexandria
Functional: GGA-PBE
Structure: optimized geometry

a b c (Å): 9.768 9.768 9.768
angles (deg): 22.70 22.70 22.70
Fractional positions:
Th (0.113, 0.113, 0.113)
Th (0.887, 0.887, 0.887)
Zn (0.000, 0.000, 0.000)
Co (0.500, 0.500, 0.500)

Computed properties:
Space group: No. 166
Total moment: 0.0 Bohr magnetons per cell
V: 121.76 Å³/f.u.



Entry x
Compound: Th2ZnCo
Source: Alexandria
Functional: GGA-PBE
Structure: optimized geometry

a b c (Å): 7.947 7.947 7.947
angles (deg): 28.64 28.64 28.64
Fractional positions:
Th (0.000, 0.000, 0.000)
Th (0.199, 0.199, 0.199)
Zn (0.432, 0.432, 0.432)
Co (0.600, 0.600, 0.600)

Computed properties:
Space group: No. 160
Total moment: 0.0 Bohr magnetons per cell
V: 101.91 Å³/f.u.



Entry y
Compound: Th2ZnCo
Source: Alexandria
Functional: GGA-PBE
Structure: optimized geometry

a b c (Å): 3.566 3.566 7.140
angles (deg): 90.00 90.00 90.00
Fractional positions:
Th (0.000, 0.000, 0.226)
Th (0.000, 0.000, 0.774)
Zn (0.500, 0.500, 0.500)
Co (0.500, 0.500, 0.000)

Computed properties:
Space group: No. 123
Total moment: 0.0 Bohr magnetons per cell
V: 90.79 Å³/f.u.



Relative energies, in eV/atom, with the most stable structure set to zero: entry w 0.324; entry x 0.016; entry y 0.000.



Entry w
Compound: ThZn3Co
Source: Alexandria
Functional: GGA-PBE
Structure: optimized geometry

a b c (Å): 4.471 5.276 5.276
angles (deg): 50.62 90.00 90.00
Fractional positions:
Th (0.000, 0.000, 0.000)
Zn (0.000, 0.696, 0.696)
Zn (0.500, 0.235, 0.235)
Zn (0.500, 0.507, 0.507)
Co (0.000, 0.347, 0.347)

Computed properties:
Space group: No. 38
Total moment: 0.0 Bohr magnetons per cell
V: 96.18 Å³/f.u.



Entry x
Compound: ThZn3Co
Source: Alexandria
Functional: GGA-PBE
Structure: optimized geometry

a b c (Å): 4.563 4.563 4.563
angles (deg): 90.00 90.00 90.00
Fractional positions:
Th (0.000, 0.000, 0.000)
Zn (0.000, 0.500, 0.500)
Zn (0.500, 0.000, 0.500)
Zn (0.500, 0.500, 0.000)
Co (0.500, 0.500, 0.500)

Computed properties:
Space group: No. 221
Total moment: 0.3 Bohr magnetons per cell
V: 94.98 Å³/f.u.



Entry y
Compound: ThZn3Co
Source: Alexandria
Functional: GGA-PBE
Structure: optimized geometry

a b c (Å): 4.872 6.299 5.783
angles (deg): 90.00 99.96 90.00
Fractional positions:
Th (0.170, 0.250, 0.158)
Th (0.830, 0.750, 0.842)
Zn (0.196, 0.750, 0.376)
Zn (0.320, 0.046, 0.685)
Zn (0.320, 0.454, 0.685)
Zn (0.680, 0.546, 0.315)
Zn (0.680, 0.954, 0.315)
Zn (0.804, 0.250, 0.624)
Co (0.346, 0.750, 0.976)
Co (0.654, 0.250, 0.024)

Computed properties:
Space group: No. 11
Total moment: 0.0 Bohr magnetons per cell
V: 87.40 Å³/f.u.



Relative energies, in eV/atom, with the most stable structure set to zero: entry w 0.236; entry x 0.223; entry y 0.000.



Entry w
Compound: ThZr2Co
Source: Alexandria
Functional: GGA-PBE
Structure: optimized geometry

a b c (Å): 6.579 9.116 5.934
angles (deg): 90.00 90.00 90.00
Fractional positions:
Th (0.047, 0.250, 0.147)
Th (0.453, 0.750, 0.647)
Th (0.547, 0.250, 0.353)
Th (0.953, 0.750, 0.853)
Zr (0.182, 0.064, 0.652)
Zr (0.182, 0.436, 0.652)
Zr (0.318, 0.564, 0.152)
Zr (0.318, 0.936, 0.152)
Zr (0.682, 0.064, 0.848)
Zr (0.682, 0.436, 0.848)
Zr (0.818, 0.564, 0.348)
Zr (0.818, 0.936, 0.348)
Co (0.115, 0.750, 0.416)
Co (0.385, 0.250, 0.916)
Co (0.615, 0.750, 0.084)
Co (0.885, 0.250, 0.584)

Computed properties:
Space group: No. 62
Total moment: 0.0 Bohr magnetons per cell
V: 88.97 Å³/f.u.



Entry x
Compound: ThZr2Co
Source: Alexandria
Functional: GGA-PBE
Structure: optimized geometry

a b c (Å): 3.300 3.300 7.958
angles (deg): 90.00 90.00 90.00
Fractional positions:
Th (0.000, 0.000, 0.000)
Zr (0.500, 0.500, 0.310)
Zr (0.500, 0.500, 0.690)
Co (0.000, 0.000, 0.500)

Computed properties:
Space group: No. 123
Total moment: 0.5 Bohr magnetons per cell
V: 86.66 Å³/f.u.



Entry y
Compound: ThZr2Co
Source: Alexandria
Functional: GGA-PBE
Structure: optimized geometry

a b c (Å): 8.868 8.868 8.868
angles (deg): 22.94 22.94 22.94
Fractional positions:
Th (0.000, 0.000, 0.000)
Zr (0.227, 0.227, 0.227)
Zr (0.443, 0.443, 0.443)
Co (0.836, 0.836, 0.836)

Computed properties:
Space group: No. 160
Total moment: 0.0 Bohr magnetons per cell
V: 92.96 Å³/f.u.



Relative energies, in eV/atom, with the most stable structure set to zero: entry w 0.000; entry x 0.100; entry y 0.217.



Entry w
Compound: Ti3TlCo
Source: Alexandria
Functional: GGA-PBE
Structure: optimized geometry

a b c (Å): 5.367 5.367 8.663
angles (deg): 93.76 93.76 44.76
Fractional positions:
Ti (0.088, 0.088, 0.382)
Ti (0.380, 0.380, 0.861)
Ti (0.392, 0.392, 0.365)
Ti (0.608, 0.608, 0.635)
Ti (0.620, 0.620, 0.139)
Ti (0.912, 0.912, 0.618)
Tl (0.104, 0.104, 0.883)
Tl (0.896, 0.896, 0.117)
Co (0.264, 0.264, 0.607)
Co (0.736, 0.736, 0.393)

Computed properties:
Space group: No. 12
Total moment: 0.0 Bohr magnetons per cell
V: 87.63 Å³/f.u.



Entry x
Compound: Ti3TlCo
Source: Alexandria
Functional: GGA-PBE
Structure: optimized geometry

a b c (Å): 4.539 4.539 4.539
angles (deg): 90.00 90.00 90.00
Fractional positions:
Ti (0.000, 0.000, 0.500)
Ti (0.000, 0.500, 0.000)
Ti (0.500, 0.000, 0.000)
Tl (0.500, 0.500, 0.500)
Co (0.000, 0.000, 0.000)

Computed properties:
Space group: No. 221
Total moment: 0.0 Bohr magnetons per cell
V: 93.52 Å³/f.u.



Entry y
Compound: Ti3TlCo
Source: Alexandria
Functional: GGA-PBE
Structure: optimized geometry

a b c (Å): 5.921 4.353 7.266
angles (deg): 90.00 112.64 90.00
Fractional positions:
Ti (0.118, 0.250, 0.445)
Ti (0.243, 0.250, 0.885)
Ti (0.266, 0.750, 0.239)
Ti (0.734, 0.250, 0.761)
Ti (0.757, 0.750, 0.115)
Ti (0.882, 0.750, 0.555)
Tl (0.409, 0.750, 0.689)
Tl (0.591, 0.250, 0.311)
Co (0.028, 0.250, 0.102)
Co (0.972, 0.750, 0.898)

Computed properties:
Space group: No. 11
Total moment: 0.0 Bohr magnetons per cell
V: 86.41 Å³/f.u.



Relative energies, in eV/atom, with the most stable structure set to zero: entry w 0.020; entry x 0.186; entry y 0.000.



Entry w
Compound: Ti2TlCo
Source: Alexandria
Functional: GGA-PBE
Structure: optimized geometry

a b c (Å): 2.940 2.940 7.725
angles (deg): 90.00 90.00 90.00
Fractional positions:
Ti (0.000, 0.000, 0.199)
Ti (0.000, 0.000, 0.801)
Tl (0.500, 0.500, 0.500)
Co (0.500, 0.500, 0.000)

Computed properties:
Space group: No. 123
Total moment: 1.2 Bohr magnetons per cell
V: 66.78 Å³/f.u.



Entry x
Compound: Ti2TlCo
Source: Alexandria
Functional: GGA-PBE
Structure: optimized geometry

a b c (Å): 4.565 4.565 4.565
angles (deg): 60.00 60.00 60.00
Fractional positions:
Ti (0.250, 0.250, 0.250)
Ti (0.750, 0.750, 0.750)
Tl (0.000, 0.000, 0.000)
Co (0.500, 0.500, 0.500)

Computed properties:
Space group: No. 225
Total moment: 2.0 Bohr magnetons per cell
V: 67.26 Å³/f.u.



Entry y
Compound: Ti2TlCo
Source: Alexandria
Functional: GGA-PBE
Structure: optimized geometry

a b c (Å): 5.761 5.761 5.761
angles (deg): 103.49 103.49 122.24
Fractional positions:
Ti (0.063, 0.625, 0.938)
Ti (0.375, 0.313, 0.438)
Ti (0.687, 0.125, 0.062)
Ti (0.875, 0.937, 0.562)
Tl (0.250, 0.750, 0.500)
Tl (0.500, 0.500, 0.000)
Co (0.000, 0.000, 0.000)
Co (0.750, 0.250, 0.500)

Computed properties:
Space group: No. 122
Total moment: 0.0 Bohr magnetons per cell
V: 70.80 Å³/f.u.



Relative energies, in eV/atom, with the most stable structure set to zero: entry w 0.000; entry x 0.169; entry y 0.298.